Entry 1:
ScZnFeB (PBE-GGA, optimized geometry); excess energy over the best structure of this formula in the dataset = 0 meV/atom; symmetry = F-43m, No. 216; size of the total moment = 1.6 μB/f.u.
1.0
0.0000 2.9283 2.9283
2.9283 0.0000 2.9283
2.9283 2.9283 0.0000
Fe Sc B Zn
1 1 1 1
direct
0.2500 0.2500 0.2500
0.7500 0.7500 0.7500
0.0000 0.0000 0.0000
0.5000 0.5000 0.5000

=====

Entry 2:
CuBOsW (PBE-GGA, optimized geometry); excess energy over the best structure of this formula in the dataset = 154 meV/atom; symmetry = F-43m, No. 216; size of the total moment = 0.0 μB/f.u.
1.0
0.0000 2.9401 2.9401
2.9401 0.0000 2.9401
2.9401 2.9401 0.0000
B Os W Cu
1 1 1 1
direct
0.0000 0.0000 0.0000
0.2500 0.2500 0.2500
0.5000 0.5000 0.5000
0.7500 0.7500 0.7500

=====

Entry 3:
Tm2CICl (PBE-GGA, optimized geometry); symmetry = P3m1, No. 156; size of the total moment = 0.0 μB/f.u.; VASP energy = -0.205 hartree per atom
1.0
3.7356 0.0000 0.0000
-1.8678 3.2351 0.0000
0.0000 0.0000 10.0585
I Cl Tm C
1 1 2 1
direct
0.3333 0.6667 0.3355
0.6667 0.3333 0.6925
0.3333 0.6667 0.8617
0.6667 0.3333 0.1195
0.0000 0.0000 0.9907

=====

Entry 4:
TcB4As (PBE-GGA, optimized geometry); excess energy over the best structure of this formula in the dataset = 0 meV/atom; symmetry = P6/mmm, No. 191; size of the total moment = 0.0 μB/f.u.
1.0
-1.1779 0.0504 2.8014
-0.7038 -2.2621 -1.9040
5.5228 -3.7294 2.3894
B Tc As
4 1 1
direct
0.6667 0.3333 0.7662
0.3333 0.6667 0.7662
0.6667 0.3333 0.2338
0.3333 0.6667 0.2338
0.0000 0.0000 0.0000
0.0000 0.0000 0.5000